The following is a DFT calculation (PBE-GGA) of a geometry-optimized Re2TeMo structure.

CIF file:
```
data_Re2TeMo
_symmetry_space_group_name_H-M 'P 1'
_symmetry_Int_Tables_number 1
_cell_length_a 5.0988
_cell_length_b 5.0988
_cell_length_c 5.0988
_cell_angle_alpha 134.82
_cell_angle_beta 134.82
_cell_angle_gamma 65.81
loop_
_symmetry_equiv_pos_as_xyz
'x,y,z'
loop_
_atom_site_label
_atom_site_fract_x
_atom_site_fract_y
_atom_site_fract_z
_atom_site_occupancy
Mo1 0.7500 0.2500 0.5000 1
Re1 0.0000 0.0000 0.0000 1
Re2 0.2500 0.7500 0.5000 1
Te1 0.5000 0.5000 0.0000 1
```

Summary:
For the uncorrected formation energy, the calculation gives 2.9 eV per formula unit. The total energy comes out at -8.998 eV/atom. The calculation puts the magnetization at 0.000 μB/f.u. As for the space-group type: I-4m2 (119). Its theoretical density is 15.1 g/cm3. The value obtained for the density of states at the Fermi level is 4.17 states/eV/cell.